Material: RbSbAs2Se
Method: DFT, PBEsol
State: optimized geometry

Unit cell a=5.320 b=5.320 c=5.497 alpha=90.00 beta=90.00 gamma=90.00
Fractional coordinates of all 5 atoms:
Se1 0.000 0.000 0.500
As1 0.500 0.000 0.000
As2 0.000 0.500 0.000
Rb1 0.500 0.500 0.500
Sb1 0.000 0.000 0.000

For the magnetic moment, the calculation gives 1.0 μB/f.u. The uncorrected energy comes out at -3.68 eV per atom. As for the space group: P4/mmm, No. 123. The calculation puts the uncorrected formation energy at 252 meV/atom. The value obtained for the volume is 155.6 Å³/f.u. The crystal system is tetragonal.

---

Material: RbSbAs2Se
Method: DFT, PBEsol
State: optimized geometry

Unit cell a=5.405 b=5.405 c=5.432 alpha=90.00 beta=90.00 gamma=90.00
Fractional coordinates of all 5 atoms:
As1 0.000 0.500 0.000
As2 0.500 0.000 0.000
Se1 0.000 0.000 0.500
Rb1 0.000 0.000 0.000
Sb1 0.500 0.500 0.500

For the magnetic moment, the calculation gives 0.0 μB/f.u. The uncorrected energy comes out at -2.37 eV per atom. As for the space group: P4/mmm, No. 123. The calculation puts the uncorrected formation energy at 1564 meV/atom. The value obtained for the volume is 158.7 Å³/f.u. The crystal system is tetragonal.

---

Material: RbZrSb2As
Method: DFT, PBEsol
State: optimized geometry

Unit cell a=5.007 b=5.695 c=5.695 alpha=90.00 beta=90.00 gamma=90.00
Fractional coordinates of all 5 atoms:
Zr1 0.500 0.000 0.000
Sb1 0.000 0.500 0.000
As1 0.500 0.500 0.500
Rb1 0.000 0.000 0.000
Sb2 0.000 0.000 0.500

For the magnetic moment, the calculation gives 0.5 μB/f.u. The uncorrected energy comes out at -2.92 eV per atom. As for the space group: P4/mmm, No. 123. The calculation puts the uncorrected formation energy at 1946 meV/atom. The value obtained for the volume is 162.4 Å³/f.u. The crystal system is tetragonal.

---

Material: RbSc3As
Method: DFT, PBEsol
State: optimized geometry

Unit cell a=4.890 b=4.890 c=4.890 alpha=90.00 beta=90.00 gamma=90.00
Fractional coordinates of all 5 atoms:
As1 0.500 0.500 0.500
Sc1 0.000 0.000 0.500
Sc2 0.000 0.500 0.000
Rb1 0.000 0.000 0.000
Sc3 0.500 0.000 0.000

For the magnetic moment, the calculation gives 0.0 μB/f.u. The uncorrected energy comes out at -3.80 eV per atom. As for the space group: Pm-3m, No. 221. The value obtained for the volume is 116.9 Å³/f.u. The crystal system is cubic. The formation energy from the elements comes out at 1.3906 eV per atom.

---

Material: RbSc2As2
Method: DFT, PBEsol
State: optimized geometry

Unit cell a=5.127 b=5.127 c=6.599 alpha=112.86 beta=112.86 gamma=90.00
Fractional coordinates of all 5 atoms:
Sc1 0.690 0.690 0.381
As1 0.250 0.750 0.500
As2 0.750 0.250 0.500
Rb1 0.000 0.000 0.000
Sc2 0.310 0.310 0.619

For the magnetic moment, the calculation gives 1.0 μB/f.u. The uncorrected energy comes out at -5.58 eV per atom. As for the space group: I4/mmm, No. 139. The value obtained for the volume is 144.9 Å³/f.u. The crystal system is tetragonal. The formation energy from the elements comes out at -0.6902 eV per atom.

---

Material: Rb3AsSe16
Method: DFT, PBEsol
State: optimized geometry

Unit cell a=11.628 b=11.628 c=11.628 alpha=60.00 beta=60.00 gamma=60.00
Fractional coordinates of all 40 atoms:
Se1 0.679 0.927 0.091
Rb1 0.250 0.250 0.250
Se2 0.833 0.501 0.833
Se3 0.159 0.323 0.948
Se4 0.323 0.159 0.571
Se5 0.302 0.927 0.679
Rb2 0.125 0.625 0.625
Se6 0.159 0.948 0.571
Se7 0.571 0.159 0.948
Rb3 0.625 0.125 0.625
Se8 0.571 0.948 0.323
Se9 0.323 0.948 0.159
Se10 0.417 0.417 0.417
Se11 0.501 0.833 0.833
Se12 0.302 0.091 0.927
Se13 0.927 0.091 0.679
Se14 0.323 0.571 0.948
Se15 0.091 0.302 0.679
Se16 0.571 0.323 0.159
Se17 0.159 0.571 0.323
Rb4 0.625 0.625 0.625
Se18 0.833 0.833 0.833
Se19 0.948 0.159 0.323
Se20 0.302 0.679 0.091
Se21 0.417 0.417 0.749
Se22 0.091 0.927 0.302
Rb5 0.000 0.000 0.000
Se23 0.948 0.323 0.571
As1 0.500 0.500 0.500
As2 0.750 0.750 0.750
Se24 0.749 0.417 0.417
Rb6 0.625 0.625 0.125
Se25 0.948 0.571 0.159
Se26 0.927 0.302 0.091
Se27 0.417 0.749 0.417
Se28 0.679 0.302 0.927
Se29 0.679 0.091 0.302
Se30 0.927 0.679 0.302
Se31 0.833 0.833 0.501
Se32 0.091 0.679 0.927

For the magnetic moment, the calculation gives 0.0 μB/f.u. The uncorrected energy comes out at -3.81 eV per atom. As for the space group: Fd-3, No. 203. The calculation puts the uncorrected formation energy at -323 meV/atom. The value obtained for the volume is 555.9 Å³/f.u. The crystal system is cubic.

---

Material: Rb2As2Se
Method: DFT, PBEsol
State: optimized geometry

Unit cell a=5.396 b=7.267 c=7.267 alpha=90.00 beta=90.00 gamma=90.00
Fractional coordinates of all 10 atoms:
As1 0.000 0.379 0.879
Se1 0.000 0.500 0.500
Rb1 0.500 0.181 0.681
Rb2 0.500 0.319 0.181
As2 0.000 0.121 0.379
Se2 0.000 0.000 0.000
Rb3 0.500 0.681 0.819
Rb4 0.500 0.819 0.319
As3 0.000 0.879 0.621
As4 0.000 0.621 0.121

For the magnetic moment, the calculation gives 0.0 μB/f.u. The uncorrected energy comes out at -3.50 eV per atom. As for the space group: P4/mbm, No. 127. The calculation puts the uncorrected formation energy at -275 meV/atom. The value obtained for the volume is 142.5 Å³/f.u. The crystal system is tetragonal.

---

Material: RbAsSe2
Method: DFT, PBEsol
State: optimized geometry

Unit cell a=9.385 b=9.883 c=12.477 alpha=113.33 beta=100.90 gamma=90.00
Fractional coordinates of all 32 atoms:
Se1 0.563 0.023 0.205
Se2 0.937 0.818 0.795
Rb1 0.250 0.977 0.000
As1 0.659 0.809 0.213
Rb2 0.750 0.464 0.000
As2 0.841 0.597 0.787
Se3 0.851 0.915 0.396
Se4 0.437 0.977 0.795
Se5 0.063 0.182 0.205
As3 0.051 0.796 0.301
Se6 0.987 0.783 0.108
As4 0.159 0.403 0.213
Se7 0.649 0.519 0.604
Se8 0.466 0.740 0.294
Se9 0.487 0.325 0.108
Rb3 0.750 0.023 0.000
As5 0.341 0.191 0.787
As6 0.949 0.204 0.699
Se10 0.034 0.446 0.706
Se11 0.351 0.481 0.396
Rb4 0.662 0.872 0.598
Rb5 0.338 0.128 0.402
Se12 0.149 0.085 0.604
Se13 0.966 0.554 0.294
Rb6 0.162 0.726 0.598
Rb7 0.838 0.274 0.402
Se14 0.013 0.217 0.892
Se15 0.534 0.260 0.706
Se16 0.513 0.675 0.892
As7 0.449 0.495 0.699
Rb8 0.250 0.536 0.000
As8 0.551 0.505 0.301

For the magnetic moment, the calculation gives 0.0 μB/f.u. The uncorrected energy comes out at -4.03 eV per atom. As for the space group: C2/c, No. 15. The calculation puts the uncorrected formation energy at -576 meV/atom. The value obtained for the volume is 130.0 Å³/f.u. The crystal system is monoclinic.